Run w
Compound: PrGeAu4
Source: the Alexandria database
Functional: PBE
Structure: relaxed

a b c (Å): 5.1382 7.2696 7.5135
angles (deg): 90.00 109.99 90.00
With the nearest neighbours (Å) after each atom.
Positions (direct):
Pr 0.3834 0.7500 0.7669  7 Au 3.02-3.31
Pr 0.6166 0.2500 0.2331  7 Au 3.02-3.31
Ge 0.1319 0.7500 0.2639  6 Au 2.55-2.62
Ge 0.8681 0.2500 0.7361  6 Au 2.55-2.62
Au 0.2130 0.4371 0.4260  1 Ge 2.55, 1 Au 2.72
Au 0.7870 0.5629 0.5740  1 Ge 2.55, 1 Au 2.72
Au 0.2130 0.0629 0.4260  1 Ge 2.55, 1 Au 2.72
Au 0.7870 0.9371 0.5740  1 Ge 2.55, 1 Au 2.72
Au 0.5974 0.7500 0.1947  2 Ge 2.62
Au 0.4026 0.2500 0.8053  2 Ge 2.62
Au 0.0000 0.5000 0.0000  2 Ge 2.60
Au 0.0000 0.0000 0.0000  2 Ge 2.60

Calculated values
- crystal system = orthorhombic
- ρ (g/cm³) = 12.6
- Fermi-level density of states (states/eV/cell) = 5.36

---

Run x
Compound: PrGeAu4
Source: the Alexandria database
Functional: PBE
Structure: relaxed

a b c (Å): 5.6458 5.6458 5.6458
angles (deg): 60.00 60.00 60.00
With the nearest neighbours (Å) after each atom.
Positions (direct):
Pr 0.2500 0.2500 0.2500  12 Au 3.31, 4 Ge 3.46
Ge 0.0000 0.0000 0.0000  12 Au 3.31, 4 Pr 3.46
Au 0.6253 0.6253 0.1242  6 Au 2.82-2.83
Au 0.6253 0.1242 0.6253  6 Au 2.82-2.83
Au 0.6253 0.6253 0.6253  6 Au 2.82-2.83
Au 0.1242 0.6253 0.6253  6 Au 2.82-2.83

Calculated values
- crystal system = cubic
- ρ (g/cm³) = 13.1
- Fermi-level density of states (states/eV/cell) = 3.65

---

List of relative energies, unit meV/atom: run w 0; run x 26

---

Run w
Compound: PrSmGeAu
Source: the Alexandria database
Functional: PBE
Structure: relaxed

a b c (Å): 5.2375 5.2375 5.2375
angles (deg): 60.00 60.00 60.00
With the nearest neighbours (Å) after each atom.
Positions (direct):
Pr 0.2500 0.2500 0.2500  4 Au 3.21, 4 Ge 3.21
Ge 0.0000 0.0000 0.0000  4 Sm 3.21, 4 Pr 3.21
Au 0.5000 0.5000 0.5000  4 Sm 3.21, 4 Pr 3.21
Sm 0.7500 0.7500 0.7500  4 Ge 3.21, 4 Au 3.21

Calculated values
- crystal system = cubic
- ρ (g/cm³) = 9.2
- Fermi-level density of states (states/eV/cell) = 2.89

---

Run x
Compound: PrSmGeAu
Source: the Alexandria database
Functional: PBE
Structure: relaxed

a b c (Å): 4.1776 4.4323 6.0296
angles (deg): 90.00 110.27 90.00
With the nearest neighbours (Å) after each atom.
Positions (direct):
Pr 0.8581 0.5000 0.7162  3 Ge 3.08-3.32, 4 Au 3.13
Sm 0.1355 0.0000 0.2711  4 Ge 3.10, 3 Au 3.21-3.22
Ge 0.5859 0.5000 0.1719  2 Au 2.90, 1 Pr 3.08, 4 Sm 3.10
Au 0.4205 0.0000 0.8409  2 Ge 2.90, 4 Pr 3.13, 3 Sm 3.21-3.22

Calculated values
- crystal system = orthorhombic
- ρ (g/cm³) = 8.9
- Fermi-level density of states (states/eV/cell) = 2.92

---

List of relative energies, unit meV/atom: run w 78; run x 0

---

Run w
Compound: Ge3PtAu
Source: the Alexandria database
Functional: PBE
Structure: relaxed

a b c (Å): 4.8709 4.8709 4.8709
angles (deg): 90.00 90.00 90.00
With the nearest neighbours (Å) after each atom.
Positions (direct):
Ge 0.0000 0.5000 0.0000  2 Pt 2.44
Ge 0.0000 0.0000 0.5000  2 Pt 2.44
Ge 0.5000 0.0000 0.0000  2 Pt 2.44
Au 0.5000 0.5000 0.5000  12 Ge 3.44
Pt 0.0000 0.0000 0.0000  6 Ge 2.44

Calculated values
- crystal system = cubic
- ρ (g/cm³) = 8.8
- Fermi-level density of states (states/eV/cell) = 2.18

---

Run x
Compound: Ge3PtAu
Source: the Alexandria database
Functional: PBE
Structure: relaxed

a b c (Å): 3.8635 8.2046 11.2791
angles (deg): 35.40 99.86 90.00
With the nearest neighbours (Å) after each atom.
Positions (direct):
Ge 0.1037 0.2759 0.2074  1 Pt 2.50, 2 Au 2.58, 1 Ge 2.59
Ge 0.8963 0.7241 0.7926  1 Pt 2.50, 2 Au 2.58, 1 Ge 2.59
Ge 0.4730 0.9103 0.9459  2 Pt 2.50, 1 Ge 2.56, 1 Au 2.64
Ge 0.5270 0.0897 0.0541  2 Pt 2.50, 1 Ge 2.56, 1 Au 2.64
Ge 0.2125 0.4402 0.4250  3 Pt 2.54-2.60, 2 Au 2.71
Ge 0.7875 0.5598 0.5750  3 Pt 2.54-2.60, 2 Au 2.71
Pt 0.8517 0.1215 0.7034  6 Ge 2.50-2.60
Pt 0.1483 0.8785 0.2966  6 Ge 2.50-2.60
Au 0.6600 0.3404 0.3201  5 Ge 2.58-2.71
Au 0.3400 0.6596 0.6799  5 Ge 2.58-2.71

Calculated values
- crystal system = monoclinic
- ρ (g/cm³) = 10.2
- Fermi-level density of states (states/eV/cell) = 3.47

---

List of relative energies, unit meV/atom: run w 535; run x 0

---

Run w
Compound: Pu2Ge3Au2
Source: the Alexandria database
Functional: PBE
Structure: relaxed

a b c (Å): 3.5045 5.8973 8.3372
angles (deg): 122.95 90.00 107.29
With the nearest neighbours (Å) after each atom.
Positions (direct):
Pu 0.8184 0.6368 0.1063  2 Pu 2.34
Pu 0.1816 0.3632 0.8937  2 Pu 2.34
Ge 0.5000 0.0000 0.0000  4 Au 2.68
Ge 0.5648 0.1296 0.4157  1 Ge 2.54, 3 Au 2.55-2.73
Ge 0.4352 0.8704 0.5843  1 Ge 2.54, 3 Au 2.55-2.73
Au 0.8249 0.6497 0.7179  5 Ge 2.55-2.73
Au 0.1751 0.3503 0.2821  5 Ge 2.55-2.73

Calculated values
- crystal system = monoclinic
- ρ (g/cm³) = 13.5
- Fermi-level density of states (states/eV/cell) = 6.96

---

Run x
Compound: Pu2Ge3Au2
Source: the Alexandria database
Functional: PBE
Structure: relaxed

a b c (Å): 4.3755 7.1648 9.7600
angles (deg): 90.00 102.95 90.00
With the nearest neighbours (Å) after each atom.
Positions (direct):
Pu 0.1528 0.2500 0.3056  6 Ge 3.10-3.19, 6 Au 3.15-3.38
Pu 0.8472 0.7500 0.6944  6 Ge 3.10-3.19, 6 Au 3.15-3.38
Pu 0.9493 0.2500 0.8986  9 Ge 3.19-3.32
Pu 0.0507 0.7500 0.1014  9 Ge 3.19-3.32
Ge 0.2253 0.7500 0.4506  6 Au 2.71-2.75
Ge 0.7747 0.2500 0.5494  6 Au 2.71-2.75
Ge 0.5587 0.4274 0.1173  2 Ge 2.46-2.54, 1 Au 2.58
Ge 0.4413 0.5726 0.8827  2 Ge 2.46-2.54, 1 Au 2.58
Ge 0.4413 0.9274 0.8827  2 Ge 2.46-2.54, 1 Au 2.58
Ge 0.5587 0.0726 0.1173  2 Ge 2.46-2.54, 1 Au 2.58
Au 0.6859 0.9469 0.3718  4 Ge 2.58-2.75, 1 Au 2.82
Au 0.3141 0.0531 0.6282  4 Ge 2.58-2.75, 1 Au 2.82
Au 0.3141 0.4469 0.6282  4 Ge 2.58-2.75, 1 Au 2.82
Au 0.6859 0.5531 0.3718  4 Ge 2.58-2.75, 1 Au 2.82

Calculated values
- crystal system = orthorhombic
- ρ (g/cm³) = 12.2
- Fermi-level density of states (states/eV/cell) = 47.27

---

List of relative energies, unit meV/atom: run w 325; run x 0

---

Run w
Compound: RbGe3Au
Source: the Alexandria database
Functional: PBE
Structure: relaxed

a b c (Å): 5.5943 5.5943 5.5943
angles (deg): 90.00 90.00 90.00
With the nearest neighbours (Å) after each atom.
Positions (direct):
Ge 0.0000 0.5000 0.0000  2 Rb 2.80
Ge 0.0000 0.0000 0.5000  2 Rb 2.80
Ge 0.5000 0.0000 0.0000  2 Rb 2.80
Au 0.5000 0.5000 0.5000  12 Ge 3.96
Rb 0.0000 0.0000 0.0000  6 Ge 2.80

Calculated values
- crystal system = cubic
- ρ (g/cm³) = 4.7
- Fermi-level density of states (states/eV/cell) = 4.27

---

Run x
Compound: RbGe3Au
Source: the Alexandria database
Functional: PBE
Structure: relaxed

a b c (Å): 6.4074 6.4073 6.5208
angles (deg): 90.00 90.00 116.98
With the nearest neighbours (Å) after each atom.
Positions (direct):
Rb 0.2468 0.7532 0.7500  12 Ge 3.53-3.60, 4 Au 3.53-3.64
Rb 0.7532 0.2468 0.2500  12 Ge 3.53-3.60, 4 Au 3.53-3.64
Ge 0.7445 0.7445 0.0000  2 Ge 2.70, 2 Au 2.71
Ge 0.2555 0.2555 0.5000  2 Ge 2.70, 2 Au 2.71
Ge 0.3714 0.6286 0.2500  4 Ge 2.70, 1 Au 2.73
Ge 0.2555 0.2555 0.0000  2 Ge 2.70, 2 Au 2.71
Ge 0.6286 0.3714 0.7500  4 Ge 2.70, 1 Au 2.73
Ge 0.7445 0.7445 0.5000  2 Ge 2.70, 2 Au 2.71
Au 0.8781 0.1219 0.7500  5 Ge 2.71-2.73
Au 0.1219 0.8781 0.2500  5 Ge 2.71-2.73

Calculated values
- crystal system = orthorhombic
- ρ (g/cm³) = 7.0
- Fermi-level density of states (states/eV/cell) = 3.94

---

Run y
Compound: RbGe3Au
Source: the Alexandria database
Functional: PBE
Structure: relaxed

a b c (Å): 5.2647 5.2647 5.2647
angles (deg): 90.00 90.00 90.00
With the nearest neighbours (Å) after each atom.
Positions (direct):
Ge 0.0000 0.5000 0.0000  2 Au 2.63
Ge 0.0000 0.0000 0.5000  2 Au 2.63
Ge 0.5000 0.0000 0.0000  2 Au 2.63
Au 0.0000 0.0000 0.0000  6 Ge 2.63
Rb 0.5000 0.5000 0.5000  12 Ge 3.72

Calculated values
- crystal system = cubic
- ρ (g/cm³) = 5.7
- Fermi-level density of states (states/eV/cell) = 5.94

---

List of relative energies, unit meV/atom: run w 1989; run x 0; run y 563

---

Run w
Compound: RbGeAu4
Source: the Alexandria database
Functional: PBE
Structure: relaxed

a b c (Å): 4.6514 7.7607 9.0174
angles (deg): 90.00 104.90 90.00
With the nearest neighbours (Å) after each atom.
Positions (direct):
Rb 0.3984 0.7500 0.7968  10 Au 3.51-3.87
Rb 0.6016 0.2500 0.2032  10 Au 3.51-3.87
Ge 0.0981 0.7500 0.1853  6 Au 2.52-2.69
Ge 0.9020 0.2500 0.8147  6 Au 2.52-2.69
Au 0.2169 0.5532 0.4334  1 Ge 2.65, 4 Au 2.73-2.91
Au 0.7831 0.4468 0.5666  1 Ge 2.65, 4 Au 2.73-2.91
Au 0.2169 0.9468 0.4334  1 Ge 2.65, 4 Au 2.73-2.91
Au 0.7831 0.0532 0.5666  1 Ge 2.65, 4 Au 2.73-2.91
Au 0.6708 0.7500 0.3370  2 Ge 2.66-2.69, 4 Au 2.90-2.91
Au 0.3292 0.2500 0.6630  2 Ge 2.66-2.69, 4 Au 2.90-2.91
Au 0.0000 0.5000 0.0000  2 Ge 2.52
Au 0.0000 0.0000 0.0000  2 Ge 2.52

Calculated values
- crystal system = monoclinic
- ρ (g/cm³) = 10.0
- Fermi-level density of states (states/eV/cell) = 3.95

---

Run x
Compound: RbGeAu4
Source: the Alexandria database
Functional: PBE
Structure: relaxed

a b c (Å): 7.0605 6.4594 7.2200
angles (deg): 116.57 84.45 90.00
With the nearest neighbours (Å) after each atom.
Positions (direct):
Rb 0.8500 0.7793 0.5586  10 Au 3.47-3.83
Rb 0.1500 0.2207 0.4414  10 Au 3.47-3.83
Ge 0.2759 0.5445 0.0891  5 Au 2.53-2.71
Ge 0.7241 0.4555 0.9109  5 Au 2.53-2.71
Au 0.3791 0.7262 0.4524  1 Ge 2.53, 2 Au 2.77
Au 0.3797 0.1272 0.8241  1 Ge 2.57, 3 Au 2.77-2.80
Au 0.0000 0.2337 0.0000  2 Ge 2.71, 3 Au 2.80-3.02
Au 0.6203 0.3031 0.1759  1 Ge 2.57, 3 Au 2.77-2.80
Au 0.6209 0.2738 0.5476  1 Ge 2.53, 2 Au 2.77
Au 0.6203 0.8728 0.1759  1 Ge 2.57, 3 Au 2.77-2.80
Au 0.0000 0.7663 0.0000  2 Ge 2.71, 3 Au 2.80-3.02
Au 0.3797 0.6969 0.8241  1 Ge 2.57, 3 Au 2.77-2.80

Calculated values
- crystal system = monoclinic
- ρ (g/cm³) = 10.7
- Fermi-level density of states (states/eV/cell) = 3.09

---

List of relative energies, unit meV/atom: run w 22; run x 0